Crystalline SrCu2F8 at its relaxed geometry, computed with PBE. Values from VASP.

```
&SYSTEM
  ibrav = 0, nat = 11, ntyp = 3
/
ATOMIC_SPECIES
Sr 87.62 Sr.upf
Cu 63.55 Cu.upf
F 19.00 F.upf
CELL_PARAMETERS angstrom
4.961 0.000 0.000
0.163 6.035 0.000
0.185 1.920 5.737
ATOMIC_POSITIONS angstrom
Sr 0.000 0.000 0.000
Cu 1.437 3.033 2.190
Cu 3.872 4.922 3.547
F 1.409 4.483 3.245
F 1.426 1.981 3.634
F 1.425 4.083 0.744
F 1.430 1.589 1.139
F 3.879 6.367 4.598
F 3.883 3.872 4.993
F 3.883 5.975 2.103
F 3.899 3.473 2.492
```

Results
* energy relative to the elements, uncorrected: -2.055 eV/atom
* VASP energy: -4.31 eV per atom
* space-group type: P-1
* size of the total moment: 0.000 Bohr magnetons per cell